Density functional theory data (GGA-PBE) for a relaxed Pr6InSn crystal.

Summary:
Crystal system: tetragonal

Lattice parameters (Å, degrees): 5.0119 5.0119 10.0073 90.00 90.00 90.00
Closest atoms and distances in Å follow each position.
Space group P4/mmm (No. 123)
Asymmetric unit:
Pr (0.0000, 0.0000, 0.0000) [1 per cell]  8 Pr 3.52, 4 Sn 3.54
Pr (0.0000, 0.0000, 0.5000) [1 per cell]  4 In 3.54, 8 Pr 3.56
Pr (0.0000, 0.5000, 0.2477) [4 per cell]  2 Sn 3.52, 8 Pr 3.52-3.56, 2 In 3.56
In (0.5000, 0.5000, 0.5000) [1 per cell]  12 Pr 3.54-3.56
Sn (0.5000, 0.5000, 0.0000) [1 per cell]  12 Pr 3.52-3.54

Density functional theory data (GGA-PBE) for a relaxed PrInSn2 crystal.

Summary:
Relative energy among the computed polymorphs, eV per formula unit: 0.237
Crystal system: orthorhombic

Lattice parameters (Å, degrees): 6.7026 7.9767 8.2875 90.00 90.00 90.00
Closest atoms and distances in Å follow each position.
Space group Imma (No. 74)
Asymmetric unit:
Pr (0.0000, 0.2500, 0.0632) [4 per cell]  8 Sn 3.34-3.46, 3 In 3.36
In (0.0000, 0.2500, 0.4681) [4 per cell]  8 Sn 3.27-3.47, 3 Pr 3.36
Sn (0.2500, 0.0560, 0.7500) [8 per cell]  3 Sn 3.10-3.35, 2 In 3.27, 4 Pr 3.34-3.46

Density functional theory data (GGA-PBE) for a relaxed Pr2In3Sn3 crystal.

Summary:
Relative energy among the computed polymorphs, eV per formula unit: 0.000
Crystal system: orthorhombic

Lattice parameters (Å, degrees): 4.6676 4.7578 9.7397 90.00 90.00 90.00
Closest atoms and distances in Å follow each position.
Space group Pmmm (No. 47)
Asymmetric unit:
Pr (0.0000, 0.0000, 0.2437) [2 per cell]  6 Sn 3.33, 6 In 3.36-3.45
In (0.0000, 0.5000, 0.0000) [1 per cell]  8 Sn 3.33-3.39, 4 Pr 3.36
In (0.0000, 0.5000, 0.5000) [1 per cell]  4 In 3.33, 4 Sn 3.36, 4 Pr 3.45
In (0.5000, 0.0000, 0.5000) [1 per cell]  4 In 3.33, 4 Sn 3.39, 4 Pr 3.42
Sn (0.5000, 0.0000, 0.0000) [1 per cell]  4 Pr 3.33, 4 In 3.33, 4 Sn 3.42
Sn (0.5000, 0.5000, 0.2521) [2 per cell]  4 Pr 3.33, 6 In 3.36-3.39, 2 Sn 3.42

Density functional theory data (GGA-PBE) for a relaxed Pr4In5Sn2 crystal.

Summary:
Crystal system: monoclinic

Lattice parameters (Å, degrees): 8.2586 3.6829 10.4237 90.00 94.68 90.00
Closest atoms and distances in Å follow each position.
Space group P2/m (No. 10)
Asymmetric unit:
Pr (0.1754, 0.0000, 0.3843) [2 per cell]  2 Sn 3.24, 8 In 3.39-3.56
Pr (0.2724, 0.0000, 0.9399) [2 per cell]  4 Sn 3.34-3.38, 6 In 3.40-3.53, 2 Pr 3.68
In (0.1907, 0.5000, 0.6588) [2 per cell]  1 Sn 3.11, 2 In 3.16-3.20, 4 Pr 3.40-3.48
In (0.4483, 0.5000, 0.2040) [2 per cell]  2 In 3.08-3.20, 1 Sn 3.19, 2 Pr 3.40
In (0.5000, 0.5000, 0.5000) [1 per cell]  4 In 3.08-3.16, 4 Pr 3.39
Sn (0.0643, 0.5000, 0.1373) [2 per cell]  1 Sn 2.97, 2 In 3.11-3.19, 2 Pr 3.24

Density functional theory data (GGA-PBE) for a relaxed PrInSn4 crystal.

Summary:
Relative energy among the computed polymorphs, eV per formula unit: 0.000
Crystal system: monoclinic

Lattice parameters (Å, degrees): 11.9060 4.9727 5.7404 90.00 91.82 90.00
Closest atoms and distances in Å follow each position.
Space group C2/m (No. 12)
Asymmetric unit:
Pr (0.0000, 0.0000, 0.0000) [2 per cell]  10 Sn 3.37-3.74
In (0.0000, 0.5000, 0.5000) [2 per cell]  6 Sn 3.14-3.37
Sn (0.1612, 0.0000, 0.4929) [4 per cell]  3 Sn 3.00-3.26, 2 In 3.14
Sn (0.1896, 0.5000, 0.0770) [4 per cell]  3 Sn 3.00-3.02

Density functional theory data (GGA-PBE) for a relaxed Pr4InSn5 crystal.

Summary:
Crystal system: orthorhombic

Lattice parameters (Å, degrees): 11.2011 11.5957 4.6326 90.00 90.00 90.00
Closest atoms and distances in Å follow each position.
Space group Pmmn (No. 59, origin choice 2)
Asymmetric unit:
Pr (0.0360, 0.2500, 0.2495) [4 per cell]  1 In 3.20, 6 Sn 3.33-3.35
Pr (0.2500, 0.5604, 0.2497) [4 per cell]  2 In 3.19, 4 Sn 3.30
In (0.2500, 0.7500, 0.7494) [2 per cell]  6 Pr 3.19-3.20
Sn (0.0705, 0.0436, 0.7498) [8 per cell]  3 Sn 2.98-3.13, 2 Pr 3.30
Sn (0.2500, 0.2500, 0.7492) [2 per cell]  4 Sn 3.13, 4 Pr 3.33

no.,formation enthalpy at 0 K (meV per atom),N(E_F) (states/eV/atom),M_tot (μB/f.u.)
1,-370,1.423,0.000
2,-449,0.580,0.000
3,-504,0.418,0.000
4,-473,0.713,0.000
5,-224,0.497,0.000
6,-572,0.625,0.000